# CaMnNF2

Crystalline CaMnNF2 at its relaxed geometry (PBE+U, the Alexandria database).

```
5
Lattice="4.183 0.000 0.000 0.000 4.183 0.000 0.000 0.000 4.866" Properties=species:S:1:pos:R:3 pbc="T T T"
Ca 0.000 0.000 0.000
Mn 2.091 2.091 2.433
N 0.000 0.000 2.433
F 0.000 2.091 0.000
F 2.091 0.000 0.000
```

Output
crystal system: tetragonal
total magnetization: 4.00 μB/f.u.
ΔE to the lowest computed polymorph: 496 meV per atom
energy: -5.530 eV per atom
ρ: 2.87 g cm⁻³
N(E_F): 1.53 states/eV per cell